CsSb2Rh: relaxed, PBE-GGA.

## Properties
The calculation puts the distance to the lowest polymorph of the same formula at 4.31 kcal/mol of atoms. The value obtained for the electronic total energy is -0.159 Ha/atom. The formation energy without anion corrections comes out at -0.21 eV/atom. The space group is P4/mmm, No. 123.

Cell: 3.400 3.400 9.311 Å, 90.00 90.00 90.00°
Fractional coordinates of all 4 atoms:
1 Sb 0.000 0.000 0.831
2 Sb 0.000 0.000 0.169
3 Rh 0.500 0.500 0.000
4 Cs 0.500 0.500 0.500